[1]
Crystalline ThPd6Pt at its relaxed geometry. Source: Alexandria via LeMat-Bulk, functional GGA-PBE.

Cell lengths 5.2934, 5.2934, 21.4960 Å; angles 90.00, 90.00, 120.00 degrees
Closest atoms and distances in Å follow each position.
Space group R-3m (No. 166, hexagonal axes)
One atom of each set of equivalent atoms:
Th1 0.0000 0.0000 0.0000 [3 per cell]  6 Pd 2.72
Pd1 0.0039 0.5020 0.4376 [18 per cell]  5 Pd 2.62-2.68, 1 Th 2.72
Pt1 0.0000 0.0000 0.5000 [3 per cell]  12 Pd 2.97

Energy relative to the elements ... 0.001 eV per atom


[2]
Crystalline ThPdPt at its relaxed geometry. Source: Alexandria via LeMat-Bulk, functional GGA-PBE.

Cell lengths 3.7382, 17.7522, 3.9390 Å; angles 90.00, 90.00, 90.00 degrees
Closest atoms and distances in Å follow each position.
Space group Cmcm (No. 63)
One atom of each set of equivalent atoms:
Th1 0.0000 0.1211 0.2500 [4 per cell]  5 Pd 2.94-3.17, 4 Pt 2.96
Pd1 0.0000 0.2869 0.2500 [4 per cell]  1 Pt 2.82, 1 Th 2.94, 4 Pd 3.01
Pt1 0.0000 0.4458 0.2500 [4 per cell]  2 Pt 2.75, 1 Pd 2.82, 4 Th 2.96

Energy relative to the elements ... -0.993 eV per atom


[3]
Crystalline ThPdPt3 at its relaxed geometry. Source: Alexandria via LeMat-Bulk, functional GGA-PBE.

Cell lengths 4.4813, 6.6569, 6.4430 Å; angles 90.00, 90.00, 90.00 degrees
Closest atoms and distances in Å follow each position.
Space group Pmmn (No. 59, origin choice 2)
One atom of each set of equivalent atoms:
Th1 0.2500 0.2500 0.2475 [2 per cell]  6 Pt 2.94-3.02, 2 Pd 2.95
Pd1 0.2500 0.7500 0.0498 [2 per cell]  7 Pt 2.62-2.91
Pt1 0.2500 0.0535 0.7463 [4 per cell]  4 Pt 2.62-2.91, 3 Pd 2.81-2.91
Pt2 0.2500 0.7500 0.4570 [2 per cell]  1 Pd 2.62, 6 Pt 2.75-2.91

Energy relative to the elements ... -0.711 eV per atom


[4]
Crystalline ThPd3Pt at its relaxed geometry. Source: Alexandria via LeMat-Bulk, functional GGA-PBE.

Cell lengths 5.3342, 5.3342, 13.1858 Å; angles 90.00, 90.00, 120.00 degrees
Closest atoms and distances in Å follow each position.
Space group R3m (No. 160, hexagonal axes)
One atom of each set of equivalent atoms:
Th1 0.0000 0.0000 0.0000 [3 per cell]  9 Pd 3.12-3.15, 3 Pt 3.12
Pd1 0.0012 0.5006 0.1276 [9 per cell]  4 Pd 2.66-2.68, 2 Pt 2.67-2.69
Pt1 0.0000 0.0000 0.6270 [3 per cell]  6 Pd 2.67-2.69

Energy relative to the elements ... -0.641 eV per atom


[5]
Crystalline ThPd8Pt2 at its relaxed geometry. Source: Alexandria via LeMat-Bulk, functional GGA-PBE.

Cell lengths 13.2621, 5.4069, 5.4939 Å; angles 90.00, 103.92, 90.00 degrees
Closest atoms and distances in Å follow each position.
Space group C2/m (No. 12)
One atom of each set of equivalent atoms:
Th1 0.0000 0.0000 0.0000 [2 per cell]  8 Pd 2.83-3.01
Pd1 0.0806 0.5000 0.1992 [4 per cell]  6 Pd 2.67-2.92, 1 Pt 2.73
Pd2 0.0936 0.2546 0.6614 [8 per cell]  7 Pd 2.65-2.92, 2 Pt 2.73-2.88, 1 Th 2.83
Pd3 0.2472 0.0000 0.9850 [4 per cell]  2 Pt 2.66-2.84, 7 Pd 2.71-2.83
Pt1 0.2319 0.0000 0.4598 [4 per cell]  7 Pd 2.66-2.88, 2 Pt 2.76

Energy relative to the elements ... -0.271 eV per atom


[6]
Crystalline Th4PdPt3 at its relaxed geometry. Source: Alexandria via LeMat-Bulk, functional GGA-PBE.

Cell lengths 3.9389, 4.4698, 11.2826 Å; angles 90.00, 90.00, 90.00 degrees
Closest atoms and distances in Å follow each position.
Space group Pmm2 (No. 25)
One atom of each set of equivalent atoms:
Th1 0.0000 0.0000 0.0000 [1 per cell]  6 Pt 3.01-3.26, 1 Pd 3.08
Th2 0.0000 0.5000 0.2715 [1 per cell]  7 Pt 3.01-3.30
Th3 0.5000 0.0000 0.4973 [1 per cell]  5 Pt 3.01-3.02, 2 Pd 3.25
Th4 0.5000 0.5000 0.7708 [1 per cell]  3 Pt 3.00-3.26, 4 Pd 3.02
Pd1 0.0000 0.0000 0.7268 [1 per cell]  7 Th 3.02-3.25, 2 Pt 3.07
Pt1 0.0000 0.5000 0.5401 [1 per cell]  7 Th 3.02-3.26, 2 Pd 3.07
Pt2 0.5000 0.0000 0.2307 [1 per cell]  7 Th 3.01-3.26, 2 Pt 3.13
Pt3 0.5000 0.5000 0.0370 [1 per cell]  7 Th 3.00-3.30, 2 Pt 3.13

Energy relative to the elements ... -1.108 eV per atom


no.,total magnetic moment (μB/f.u.)
1,0.00
2,0.00
3,0.00
4,0.00
5,0.00
6,0.00